No. 1
Density functional theory data (SCAN) for a PBEsol-optimized structure of Ba5Sr.

```
Ba5Sr
1.0
7.0823 0.0000 0.0000
0.0000 7.4774 0.0000
0.0000 -3.7387 6.4756
Ba Sr
5 1
direct
0.5000 0.3333 0.6667 Ba
0.0000 0.6671 0.0000 Ba
0.5000 0.6667 0.3333 Ba
0.0000 0.0000 0.6671 Ba
0.0000 0.3329 0.3329 Ba
0.5000 0.0000 0.0000 Sr
```

Values from the calculation:
DFT formation energy ... 0.0267 eV/atom
Space-group type ... P-62m
E above lowest polymorph ... 0.00 eV per formula unit

***

No. 2
Density functional theory data (SCAN) for a PBEsol-optimized structure of Ba3Sr.

```
Ba3Sr
1.0
4.3102 0.0000 0.0000
2.1551 3.7327 0.0000
2.1551 1.2442 14.1616
Sr Ba
1 3
direct
0.0000 0.0000 0.0000 Sr
0.5000 0.5000 0.5000 Ba
0.7489 0.7489 0.7533 Ba
0.2511 0.2511 0.2467 Ba
```

Values from the calculation:
DFT formation energy ... 0.0305 eV/atom
Space-group type ... R-3m
E above lowest polymorph ... 0.10 eV per formula unit

***

No. 3
Density functional theory data (SCAN) for a PBEsol-optimized structure of Ba5Sr.

```
Ba5Sr
1.0
-1.6617 5.9020 -0.4671
-1.7089 -0.9447 -5.8576
-9.2697 -2.6199 -0.1274
Ba Sr
5 1
direct
0.5000 0.3343 0.3313 Ba
0.0000 0.1654 0.6693 Ba
0.5000 0.6657 0.6687 Ba
0.0000 0.8346 0.3307 Ba
0.5000 0.0000 0.0000 Ba
0.0000 0.5000 0.0000 Sr
```

Values from the calculation:
DFT formation energy ... 0.0309 eV/atom
Space-group type ... Cmmm
E above lowest polymorph ... 0.03 eV per formula unit

***

No. 4
Density functional theory data (SCAN) for a PBEsol-optimized structure of BaSr3.

```
BaSr3
1.0
-0.4936 5.5295 -4.7941
-8.0392 1.2790 2.3029
6.3254 13.3033 14.6927
Sr Ba
18 6
direct
0.6665 0.2500 0.1668 Sr
0.6665 0.7500 0.8332 Sr
0.9993 0.7509 0.0000 Sr
0.1666 0.5000 0.1668 Sr
0.5018 0.0000 0.0000 Sr
0.1666 0.5000 0.8332 Sr
0.8334 0.0000 0.6668 Sr
0.6665 0.2500 0.8332 Sr
0.0007 0.2509 0.5000 Sr
0.8334 0.0000 0.3332 Sr
0.3335 0.2500 0.6668 Sr
0.3335 0.2500 0.3332 Sr
0.4982 0.5000 0.5000 Sr
0.3335 0.7500 0.6668 Sr
0.0007 0.7491 0.5000 Sr
0.6665 0.7500 0.1668 Sr
0.3335 0.7500 0.3332 Sr
0.9993 0.2491 0.0000 Sr
0.1670 0.0000 0.1668 Ba
0.5009 0.0000 0.5000 Ba
0.8330 0.5000 0.3332 Ba
0.8330 0.5000 0.6668 Ba
0.1670 0.0000 0.8332 Ba
0.4991 0.5000 0.0000 Ba
```

Values from the calculation:
DFT formation energy ... 0.0169 eV/atom
Space-group type ... Pmmn
E above lowest polymorph ... 0.02 eV per formula unit

***

No. 5
Density functional theory data (SCAN) for a PBEsol-optimized structure of BaSr3.

```
BaSr3
1.0
4.0880 0.0000 0.0000
-1.3627 7.6963 0.0000
-1.3627 -3.8481 6.6652
Sr Ba
3 1
direct
0.5000 0.0000 0.5000 Sr
0.0000 0.5000 0.5000 Sr
0.5000 0.5000 0.0000 Sr
0.0000 0.0000 0.0000 Ba
```

Values from the calculation:
DFT formation energy ... 0.0202 eV/atom
Space-group type ... R-3m
E above lowest polymorph ... 0.03 eV per formula unit

***

No. 6
Density functional theory data (SCAN) for a PBEsol-optimized structure of Ba2Sr.

```
Ba2Sr
1.0
4.2856 0.0000 0.0000
0.0000 6.1487 0.0000
-2.1428 -3.0744 6.4500
Ba Sr
2 1
direct
0.6660 0.6660 0.3320 Ba
0.3340 0.3340 0.6680 Ba
0.0000 0.0000 0.0000 Sr
```

Values from the calculation:
DFT formation energy ... 0.0279 eV/atom
Space-group type ... Immm
E above lowest polymorph ... 0.05 eV per formula unit

***

No. 7
Density functional theory data (SCAN) for a PBEsol-optimized structure of Ba2Sr.

```
Ba2Sr
1.0
-3.0405 -2.6256 1.1643
4.6817 -8.4568 -6.8440
3.4186 1.0483 11.2912
Sr Ba
3 6
direct
0.5000 0.0000 0.0000 Sr
0.0000 0.3333 0.6667 Sr
0.0000 0.6667 0.3333 Sr
0.0000 0.3112 0.0000 Ba
0.5000 0.6458 0.0000 Ba
0.5000 0.0000 0.6458 Ba
0.5000 0.3542 0.3542 Ba
0.0000 0.0000 0.3112 Ba
0.0000 0.6888 0.6888 Ba
```

Values from the calculation:
DFT formation energy ... 0.0498 eV/atom
Space-group type ... P-62m
E above lowest polymorph ... 0.12 eV per formula unit

***

No. 8
Density functional theory data (SCAN) for a PBEsol-optimized structure of BaSr3.

```
BaSr3
1.0
-3.1963 -2.0222 -1.9458
-1.7680 -2.2200 5.2115
-5.0095 6.7758 1.1869
Sr Ba
3 1
direct
0.5000 0.5000 0.7453 Sr
0.5000 0.5000 0.2547 Sr
0.0000 0.0000 0.5000 Sr
0.0000 0.0000 0.0000 Ba
```

Values from the calculation:
DFT formation energy ... 0.0246 eV/atom
Space-group type ... Pmmm
E above lowest polymorph ... 0.05 eV per formula unit

***

No. 9
Density functional theory data (SCAN) for a PBEsol-optimized structure of Ba3Sr.

```
Ba3Sr
1.0
-4.3834 4.9145 1.8940
-2.3898 0.9373 -7.9631
-4.8159 -5.7339 3.7323
Ba Sr
6 2
direct
0.2500 0.8752 0.6227 Ba
0.2500 0.3773 0.1248 Ba
0.2500 0.8760 0.1240 Ba
0.7500 0.1240 0.8760 Ba
0.7500 0.1248 0.3773 Ba
0.7500 0.6227 0.8752 Ba
0.7500 0.6242 0.3758 Sr
0.2500 0.3758 0.6242 Sr
```

Values from the calculation:
DFT formation energy ... 0.0061 eV/atom
Space-group type ... Cmcm
E above lowest polymorph ... 0.00 eV per formula unit

***

No. 10
Density functional theory data (SCAN) for a PBEsol-optimized structure of BaSr3.

```
BaSr3
1.0
-4.1133 3.3247 2.8318
-4.3195 -2.5236 -3.3114
3.5746 -4.6953 4.3498
Ba Sr
1 3
direct
0.0000 0.0000 0.0000 Ba
0.5000 0.5000 0.0000 Sr
0.2500 0.7500 0.5000 Sr
0.7500 0.2500 0.5000 Sr
```

Values from the calculation:
DFT formation energy ... 0.0166 eV/atom
Space-group type ... I4/mmm
E above lowest polymorph ... 0.02 eV per formula unit

***

No. 11
Density functional theory data (SCAN) for a PBEsol-optimized structure of BaSr3.

```
BaSr3
1.0
4.7232 0.0000 0.0000
0.0000 6.6730 0.0000
0.0000 0.0000 6.6730
Ba Sr
1 3
direct
0.0000 0.0000 0.0000 Ba
0.5000 0.0000 0.5000 Sr
0.0000 0.5000 0.5000 Sr
0.5000 0.5000 0.0000 Sr
```

Values from the calculation:
DFT formation energy ... 0.0160 eV/atom
Space-group type ... P4/mmm
E above lowest polymorph ... 0.01 eV per formula unit

***

No. 12
Density functional theory data (SCAN) for a PBEsol-optimized structure of Ba4Sr.

```
Ba4Sr
1.0
6.0645 0.0000 0.0000
3.0322 6.8841 0.0000
3.0322 0.0000 6.8841
Sr Ba
1 4
direct
0.0000 0.0000 0.0000 Sr
0.6002 0.1995 0.6001 Ba
0.7997 0.6001 0.8005 Ba
0.3998 0.8005 0.3999 Ba
0.2003 0.3999 0.1995 Ba
```

Values from the calculation:
DFT formation energy ... 0.0309 eV/atom
Space-group type ... I4/m

***

No. 13
Density functional theory data (SCAN) for a PBEsol-optimized structure of BaSr2Ta.

```
BaSr2Ta
1.0
3.4930 -0.0001 0.0000
-1.0711 6.8565 0.0000
-1.2109 -3.4282 5.9527
Sr Ta Ba
2 1 1
direct
0.5000 0.5000 0.5000 Sr
0.0000 0.0000 0.5000 Sr
0.0000 0.5000 0.0000 Ta
0.5000 0.0000 0.0000 Ba
```

Values from the calculation:
DFT formation energy ... 1.0751 eV/atom
Space-group type ... C2/m
E above lowest polymorph ... 0.72 eV per formula unit

***

No. 14
Density functional theory data (SCAN) for a PBEsol-optimized structure of BaSrTa2.

```
BaSrTa2
1.0
-3.0406 -1.2079 0.2593
2.6995 -2.9123 -2.6817
2.2708 -4.1121 7.4716
Ta Sr Ba
2 1 1
direct
0.2619 0.5238 0.8436 Ta
0.9933 0.9866 0.9153 Ta
0.7397 0.4794 0.1696 Sr
0.5051 0.0102 0.5716 Ba
```

Values from the calculation:
DFT formation energy ... 0.8110 eV/atom
Space-group type ... Cm
E above lowest polymorph ... 0.00 eV per formula unit

***

No. 15
Density functional theory data (SCAN) for a PBEsol-optimized structure of BaSrTa2.

```
BaSrTa2
1.0
-2.5401 1.7029 -0.2380
-3.2141 -4.7945 -0.0016
1.0192 -0.6855 6.7257
Sr Ta Ba
1 2 1
direct
0.5000 0.5000 0.5000 Sr
0.8876 0.0000 0.6661 Ta
0.1124 0.0000 0.3339 Ta
0.5000 0.5000 0.0000 Ba
```

Values from the calculation:
DFT formation energy ... 1.2047 eV/atom
Space-group type ... P2/m
E above lowest polymorph ... 1.57 eV per formula unit

***

No. 16
Density functional theory data (SCAN) for a PBEsol-optimized structure of BaSr2Ta.

```
BaSr2Ta
1.0
3.5161 0.0000 0.0000
0.0000 3.5161 0.0000
0.0000 0.0000 11.6747
Ta Sr Ba
1 2 1
direct
0.5000 0.5000 0.0000 Ta
0.0000 0.0000 0.1953 Sr
0.0000 0.0000 0.8047 Sr
0.5000 0.5000 0.5000 Ba
```

Values from the calculation:
DFT formation energy ... 0.8940 eV/atom
Space-group type ... P4/mmm
E above lowest polymorph ... 0.00 eV per formula unit

***

No. 17
Density functional theory data (SCAN) for a PBEsol-optimized structure of BaSr2Tc.

```
BaSr2Tc
1.0
3.7998 0.0000 0.0000
1.8999 3.2907 0.0000
1.8999 1.0969 11.6276
Tc Sr Ba
1 2 1
direct
0.5000 0.5000 0.5000 Tc
0.2266 0.2266 0.3203 Sr
0.7734 0.7734 0.6797 Sr
0.0000 0.0000 0.0000 Ba
```

Values from the calculation:
DFT formation energy ... 0.8494 eV/atom
Space-group type ... R-3m
E above lowest polymorph ... 0.55 eV per formula unit

***

No. 18
Density functional theory data (SCAN) for a PBEsol-optimized structure of Ba2SrTc.

```
Ba2SrTc
1.0
5.0733 0.0000 0.0000
0.0000 5.1813 0.0000
0.0000 0.0000 5.1813
Ba Sr Tc
2 1 1
direct
0.0000 0.5000 0.0000 Ba
0.0000 0.0000 0.5000 Ba
0.5000 0.5000 0.5000 Sr
0.5000 0.0000 0.0000 Tc
```

Values from the calculation:
DFT formation energy ... 0.8634 eV/atom
Space-group type ... P4/mmm

***

No. 19
Density functional theory data (SCAN) for a PBEsol-optimized structure of BaSr2Tc.

```
BaSr2Tc
1.0
-0.6424 1.8564 3.1813
-3.1973 1.3223 -1.4173
-5.0621 -8.2008 3.7684
Sr Tc Ba
2 1 1
direct
0.5006 0.5000 0.6767 Sr
0.9983 0.0000 0.9956 Sr
0.0009 0.0000 0.5034 Tc
0.5001 0.5000 0.3243 Ba
```

Values from the calculation:
DFT formation energy ... 0.7130 eV/atom
Space-group type ... Pm
E above lowest polymorph ... 0.00 eV per formula unit

***

No. 20
Density functional theory data (SCAN) for a PBEsol-optimized structure of BaSr2Tc.

```
BaSr2Tc
1.0
-3.2456 1.6019 -0.3633
-0.2299 -1.7235 -5.5451
-1.3874 -5.8267 4.9137
Ba Tc Sr
1 1 2
direct
0.1689 0.1689 0.3378 Ba
0.5048 0.0048 0.0096 Tc
0.8279 0.8279 0.6558 Sr
0.9984 0.4984 0.9968 Sr
```

Values from the calculation:
DFT formation energy ... 0.7163 eV/atom
Space-group type ... Imm2
E above lowest polymorph ... 0.01 eV per formula unit

***

No. 21
Density functional theory data (SCAN) for a PBEsol-optimized structure of BaSrTe2.

```
BaSrTe2
1.0
-2.0631 4.3330 -0.1661
-1.0445 -3.2891 -3.3391
-4.1737 -4.4333 5.6654
Te Ba Sr
2 1 1
direct
0.0090 0.7545 0.7635 Te
0.9910 0.2455 0.2365 Te
0.5000 0.0000 0.5000 Ba
0.5000 0.5000 0.0000 Sr
```

Values from the calculation:
ΔE_f (raw) ... -1.9729 eV/atom
Space-group type ... R-3m
E above lowest polymorph ... 0.00 eV per formula unit

***

No. 22
Density functional theory data (SCAN) for a PBEsol-optimized structure of BaSrTe2.

```
BaSrTe2
1.0
-4.2086 -1.9818 1.2384
2.1434 -2.2573 3.6721
-1.3164 5.3189 4.0380
Te Ba Sr
2 1 1
direct
0.0000 0.0000 0.0000 Te
0.5000 0.5000 0.5000 Te
0.5000 0.5000 0.0000 Ba
0.0000 0.0000 0.5000 Sr
```

Values from the calculation:
ΔE_f (raw) ... -1.9536 eV/atom
Space-group type ... P4/mmm
E above lowest polymorph ... 0.08 eV per formula unit

***

No. 23
Density functional theory data (SCAN) for a PBEsol-optimized structure of BaSrTe2.

```
BaSrTe2
1.0
5.2288 0.0000 0.0000
2.6144 4.5283 0.0000
2.6144 1.5094 9.4581
Ba Te Sr
1 2 1
direct
0.5000 0.5000 0.5000 Ba
0.8944 0.8944 0.3169 Te
0.1056 0.1056 0.6831 Te
0.0000 0.0000 0.0000 Sr
```

Values from the calculation:
ΔE_f (raw) ... -1.2381 eV/atom
Space-group type ... R-3m
E above lowest polymorph ... 2.94 eV per formula unit

***

No. 24
Density functional theory data (SCAN) for a PBEsol-optimized structure of Ba2SrTe2.

```
Ba2SrTe2
1.0
-3.0131 2.3739 2.7827
-6.7934 -2.0604 -5.5983
-1.5945 -7.5486 4.7131
Te Sr Ba
4 2 4
direct
0.0000 0.8463 0.6537 Te
0.0000 0.1537 0.3463 Te
0.0000 0.6537 0.1537 Te
0.0000 0.3463 0.8463 Te
0.0000 0.5000 0.5000 Sr
0.0000 0.0000 0.0000 Sr
0.5000 0.3486 0.1514 Ba
0.5000 0.6514 0.8486 Ba
0.5000 0.1514 0.6514 Ba
0.5000 0.8486 0.3486 Ba
```

Values from the calculation:
ΔE_f (raw) ... -1.5364 eV/atom
Space-group type ... P4/mbm

***

No. 25
Density functional theory data (SCAN) for a PBEsol-optimized structure of BaSr2Te.

```
BaSr2Te
1.0
4.3490 -0.0078 0.0000
-0.0962 6.0432 0.0000
-2.1264 -3.0177 6.4068
Sr Ba Te
2 1 1
direct
0.5000 0.5000 0.5000 Sr
0.0000 0.0000 0.5000 Sr
0.5000 0.0000 0.0000 Ba
0.0000 0.5000 0.0000 Te
```

Values from the calculation:
ΔE_f (raw) ... -0.5450 eV/atom
Space-group type ... C2/m

***

No. 26
Density functional theory data (SCAN) for a PBEsol-optimized structure of BaSr3Te.

```
BaSr3Te
1.0
6.1736 0.0000 0.0000
0.0000 6.1736 0.0000
0.0000 0.0000 6.1736
Ba Sr Te
1 3 1
direct
0.0000 0.0000 0.0000 Ba
0.0000 0.0000 0.5000 Sr
0.0000 0.5000 0.0000 Sr
0.5000 0.0000 0.0000 Sr
0.5000 0.5000 0.5000 Te
```

Values from the calculation:
ΔE_f (raw) ... 0.6252 eV/atom
Space-group type ... Pm-3m

***

No. 27
Density functional theory data (SCAN) for a PBEsol-optimized structure of BaSrTe2.

```
BaSrTe2
1.0
4.7005 0.0000 0.0000
2.3503 4.0708 0.0000
2.3503 1.3569 8.1981
Te Ba Sr
2 1 1
direct
0.9216 0.9216 0.2352 Te
0.7450 0.7450 0.7651 Te
0.5013 0.5013 0.4961 Ba
0.3321 0.3321 0.0037 Sr
```

Values from the calculation:
ΔE_f (raw) ... -1.9092 eV/atom
Space-group type ... R3m
E above lowest polymorph ... 0.25 eV per formula unit

***

No. 28
Density functional theory data (SCAN) for a PBEsol-optimized structure of BaSrTeW2.

```
BaSrTeW2
1.0
-0.6637 -5.0079 1.4390
1.0026 -1.5463 -4.9187
5.8129 -0.3943 1.3088
W Te Sr Ba
2 1 1 1
direct
0.5000 0.0000 0.0000 W
0.0000 0.5000 0.0000 W
0.0000 0.0000 0.5000 Te
0.0000 0.0000 0.0000 Sr
0.5000 0.5000 0.5000 Ba
```

Values from the calculation:
ΔE_f (raw) ... 2.1892 eV/atom
Space-group type ... P4/mmm